Entry w
Here is a relaxed Pr3Te2Au crystal from Alexandria. Energies are from PBE-GGA.

Calculated values
Total moment ... 0.0 μB/f.u.
V ... 31.9 Å³/atom

abc: 4.3720 6.3915 13.6872
angles: 90.00 90.00 90.00
Fractional coordinates of all 12 atoms:
Pr 0.0000 0.0000 0.0000
Pr 0.0000 0.0000 0.3432
Pr 0.0000 0.0000 0.6568
Pr 0.5000 0.5000 0.1568
Pr 0.5000 0.5000 0.5000
Pr 0.5000 0.5000 0.8432
Te 0.0000 0.5000 0.3292
Te 0.0000 0.5000 0.6708
Te 0.5000 0.0000 0.1708
Te 0.5000 0.0000 0.8292
Au 0.0000 0.5000 0.0000
Au 0.5000 0.0000 0.5000

***

Entry x
Here is a relaxed Pr3Te2Au crystal from Alexandria. Energies are from PBE-GGA.

Calculated values
Total moment ... 0.0 μB/f.u.
V ... 31.9 Å³/atom

abc: 7.7017 7.7017 7.8866
angles: 99.43 99.43 120.08
Fractional coordinates of all 12 atoms:
Pr 0.0759 0.4187 0.7599
Pr 0.2344 0.2344 0.2354
Pr 0.4187 0.0759 0.7599
Pr 0.5813 0.9241 0.2401
Pr 0.7656 0.7656 0.7646
Pr 0.9241 0.5813 0.2401
Te 0.0000 0.0000 0.5000
Te 0.3403 0.6597 0.5000
Te 0.5000 0.5000 0.0000
Te 0.6597 0.3403 0.5000
Au 0.1686 0.8314 0.0000
Au 0.8314 0.1686 0.0000

***

Relative energy of each structure, in meV/atom: entry w 9; entry x 0.

***

Entry w
Here is a relaxed Pr2Te4Au crystal from Alexandria. Energies are from PBE-GGA.

Calculated values
Total moment ... 0.0 μB/f.u.
V ... 30.8 Å³/atom

abc: 7.9086 6.3327 8.9609
angles: 90.00 106.12 90.00
Fractional coordinates of all 14 atoms:
Pr 0.2180 0.2500 0.4301
Pr 0.2606 0.2500 0.9399
Pr 0.7394 0.7500 0.0601
Pr 0.7820 0.7500 0.5699
Te 0.0730 0.7500 0.3614
Te 0.0821 0.7500 0.9223
Te 0.4835 0.5064 0.2535
Te 0.4835 0.9936 0.2535
Te 0.5165 0.0064 0.7465
Te 0.5165 0.4936 0.7465
Te 0.9179 0.2500 0.0777
Te 0.9270 0.2500 0.6386
Au 0.2039 0.7500 0.6711
Au 0.7961 0.2500 0.3289

***

Entry x
Here is a relaxed Pr2Te4Au crystal from Alexandria. Energies are from PBE-GGA.

Calculated values
Total moment ... 0.0 μB/f.u.
V ... 32.3 Å³/atom

abc: 7.5793 6.3245 9.6801
angles: 90.00 103.12 90.00
Fractional coordinates of all 14 atoms:
Pr 0.1980 0.2500 0.3840
Pr 0.2348 0.2500 0.9404
Pr 0.7652 0.7500 0.0596
Pr 0.8020 0.7500 0.6160
Te 0.0384 0.7500 0.3762
Te 0.0914 0.7500 0.9031
Te 0.4621 0.5096 0.2167
Te 0.4621 0.9904 0.2167
Te 0.5379 0.0096 0.7833
Te 0.5379 0.4904 0.7833
Te 0.9086 0.2500 0.0969
Te 0.9616 0.2500 0.6238
Au 0.3415 0.7500 0.5745
Au 0.6585 0.2500 0.4255

***

Relative energy of each structure, in meV/atom: entry w 0; entry x 23.

***

Entry w
Here is a relaxed PrTh2Au crystal from Alexandria. Energies are from PBE-GGA.

Calculated values
Total moment ... 0.0 μB/f.u.
V ... 30.1 Å³/atom

abc: 3.7102 3.7102 8.7562
angles: 90.00 90.00 90.00
Fractional coordinates of all 4 atoms:
Pr 0.0000 0.0000 0.0000
Th 0.5000 0.5000 0.2888
Th 0.5000 0.5000 0.7112
Au 0.0000 0.0000 0.5000

***

Entry x
Here is a relaxed PrTh2Au crystal from Alexandria. Energies are from PBE-GGA.

Calculated values
Total moment ... 0.0 μB/f.u.
V ... 31.1 Å³/atom

abc: 3.7164 3.7164 31.1541
angles: 90.00 90.00 120.00
Fractional coordinates of all 12 atoms:
Pr 0.0000 0.0000 0.0000
Pr 0.3333 0.6667 0.6667
Pr 0.6667 0.3333 0.3333
Th 0.0000 0.0000 0.2389
Th 0.0000 0.0000 0.7611
Th 0.3333 0.6667 0.4278
Th 0.3333 0.6667 0.9056
Th 0.6667 0.3333 0.0944
Th 0.6667 0.3333 0.5722
Au 0.0000 0.0000 0.5000
Au 0.3333 0.6667 0.1667
Au 0.6667 0.3333 0.8333

***

Relative energy of each structure, in meV/atom: entry w 0; entry x 77.

***

Entry w
Here is a relaxed PrTiAu2 crystal from Alexandria. Energies are from PBE-GGA.

Calculated values
Total moment ... 0.0 μB/f.u.
V ... 23.1 Å³/atom

abc: 4.5839 4.5839 15.2474
angles: 90.00 90.00 120.00
Fractional coordinates of all 12 atoms:
Pr 0.0000 0.0000 0.0000
Pr 0.3333 0.6667 0.6667
Pr 0.6667 0.3333 0.3333
Ti 0.0000 0.0000 0.5000
Ti 0.3333 0.6667 0.1667
Ti 0.6667 0.3333 0.8333
Au 0.0000 0.0000 0.2103
Au 0.0000 0.0000 0.7897
Au 0.3333 0.6667 0.4563
Au 0.3333 0.6667 0.8770
Au 0.6667 0.3333 0.1230
Au 0.6667 0.3333 0.5437

***

Entry x
Here is a relaxed PrTiAu2 crystal from Alexandria. Energies are from PBE-GGA.

Calculated values
Total moment ... 0.6 μB/f.u.
V ... 21.3 Å³/atom

abc: 3.3892 3.3892 7.4109
angles: 90.00 90.00 90.00
Fractional coordinates of all 4 atoms:
Pr 0.0000 0.0000 0.0000
Ti 0.0000 0.0000 0.5000
Au 0.5000 0.5000 0.2999
Au 0.5000 0.5000 0.7001

***

Relative energy of each structure, in meV/atom: entry w 0; entry x 17.

***

Entry w
Here is a relaxed Pr2TlAu3 crystal from Alexandria. Energies are from PBE-GGA.

Calculated values
Total moment ... 0.0 μB/f.u.
V ... 24.8 Å³/atom

abc: 9.7692 9.2145 6.0534
angles: 76.46 66.49 37.04
Fractional coordinates of all 12 atoms:
Pr 0.2418 0.7582 0.7582
Pr 0.2500 0.2500 0.2500
Pr 0.7500 0.7500 0.7500
Pr 0.7582 0.2418 0.2418
Tl 0.3340 0.3340 0.6660
Tl 0.6660 0.6660 0.3340
Au 0.1663 0.1663 0.8337
Au 0.1661 0.6696 0.3304
Au 0.3304 0.8339 0.1661
Au 0.6696 0.1661 0.8339
Au 0.8339 0.3304 0.6696
Au 0.8337 0.8337 0.1663

***

Entry x
Here is a relaxed Pr2TlAu3 crystal from Alexandria. Energies are from PBE-GGA.

Calculated values
Total moment ... 0.0 μB/f.u.
V ... 26.8 Å³/atom

abc: 4.0913 4.1594 18.8894
angles: 90.00 90.00 90.00
Fractional coordinates of all 12 atoms:
Pr 0.0000 0.0000 0.0000
Pr 0.0000 0.5000 0.2203
Pr 0.5000 0.0000 0.7203
Pr 0.5000 0.5000 0.5000
Tl 0.0000 0.0000 0.3973
Tl 0.5000 0.5000 0.8973
Au 0.0000 0.0000 0.5555
Au 0.0000 0.5000 0.6503
Au 0.0000 0.5000 0.7960
Au 0.5000 0.0000 0.1503
Au 0.5000 0.0000 0.2960
Au 0.5000 0.5000 0.0555

***

Relative energy of each structure, in meV/atom: entry w 0; entry x 62.

***

Entry w
Here is a relaxed Pr3Tl2Au crystal from Alexandria. Energies are from PBE-GGA.

Calculated values
Total moment ... 0.0 μB/f.u.
V ... 29.0 Å³/atom

abc: 3.7372 3.7372 12.4762
angles: 90.00 90.00 90.00
Fractional coordinates of all 6 atoms:
Pr 0.0000 0.0000 0.0000
Pr 0.0000 0.0000 0.3516
Pr 0.0000 0.0000 0.6484
Tl 0.5000 0.5000 0.1751
Tl 0.5000 0.5000 0.8249
Au 0.5000 0.5000 0.5000

***

Entry x
Here is a relaxed Pr3Tl2Au crystal from Alexandria. Energies are from PBE-GGA.

Calculated values
Total moment ... 0.0 μB/f.u.
V ... 29.0 Å³/atom

abc: 8.7014 8.7014 6.7126
angles: 101.96 101.96 44.68
Fractional coordinates of all 12 atoms:
Pr 0.1324 0.8676 0.7500
Pr 0.2370 0.4448 0.4137
Pr 0.4448 0.2370 0.9137
Pr 0.5552 0.7630 0.0863
Pr 0.7630 0.5552 0.5863
Pr 0.8676 0.1324 0.2500
Tl 0.0569 0.2802 0.0528
Tl 0.2802 0.0569 0.5528
Tl 0.7198 0.9431 0.4472
Tl 0.9431 0.7198 0.9472
Au 0.3590 0.6410 0.2500
Au 0.6410 0.3590 0.7500

***

Relative energy of each structure, in meV/atom: entry w 0; entry x 82.

***

Entry w
Here is a relaxed Pr6Tl2Au crystal from Alexandria. Energies are from PBE-GGA.

Calculated values
Total moment ... 0.0 μB/f.u.
V ... 33.0 Å³/atom

abc: 6.4505 8.8108 11.9883
angles: 90.00 119.48 90.00
Fractional coordinates of all 18 atoms:
Pr 0.0753 0.1636 0.4481
Pr 0.0753 0.3364 0.9481
Pr 0.3383 0.6908 0.4446
Pr 0.3383 0.8092 0.9446
Pr 0.3963 0.0381 0.2714
Pr 0.3963 0.4619 0.7714
Pr 0.6037 0.5381 0.2286
Pr 0.6037 0.9619 0.7286
Pr 0.6617 0.1908 0.0554
Pr 0.6617 0.3092 0.5554
Pr 0.9247 0.6636 0.0519
Pr 0.9247 0.8364 0.5519
Tl 0.1676 0.1206 0.7558
Tl 0.1676 0.3794 0.2558
Tl 0.8324 0.6206 0.7442
Tl 0.8324 0.8794 0.2442
Au 0.0000 0.0000 0.0000
Au 0.0000 0.5000 0.5000

***

Entry x
Here is a relaxed Pr6Tl2Au crystal from Alexandria. Energies are from PBE-GGA.

Calculated values
Total moment ... 0.0 μB/f.u.
V ... 31.6 Å³/atom

abc: 9.1314 9.1314 3.9392
angles: 90.00 90.00 120.00
Fractional coordinates of all 9 atoms:
Pr 0.0000 0.3981 0.0000
Pr 0.0000 0.7420 0.5000
Pr 0.2580 0.2580 0.5000
Pr 0.3981 0.0000 0.0000
Pr 0.6019 0.6019 0.0000
Pr 0.7420 0.0000 0.5000
Tl 0.3333 0.6667 0.5000
Tl 0.6667 0.3333 0.5000
Au 0.0000 0.0000 0.0000

***

Relative energy of each structure, in meV/atom: entry w 90; entry x 0.

***

Entry w
Here is a relaxed Pr2TmAu2 crystal from Alexandria. Energies are from PBE-GGA.

Calculated values
Total moment ... 0.0 μB/f.u.
V ... 27.5 Å³/atom

abc: 7.5320 7.5320 4.8562
angles: 90.00 90.00 90.00
Fractional coordinates of all 10 atoms:
Pr 0.1642 0.3358 0.0000
Pr 0.3358 0.8358 0.0000
Pr 0.6642 0.1642 0.0000
Pr 0.8358 0.6642 0.0000
Tm 0.0000 0.0000 0.5000
Tm 0.5000 0.5000 0.5000
Au 0.1374 0.6374 0.5000
Au 0.3626 0.1374 0.5000
Au 0.6374 0.8626 0.5000
Au 0.8626 0.3626 0.5000

***

Entry x
Here is a relaxed Pr2TmAu2 crystal from Alexandria. Energies are from PBE-GGA.

Calculated values
Total moment ... 0.0 μB/f.u.
V ... 28.0 Å³/atom

abc: 4.0059 7.0937 9.8592
angles: 90.00 90.00 90.00
Fractional coordinates of all 10 atoms:
Pr 0.0000 0.0000 0.1999
Pr 0.0000 0.0000 0.8001
Pr 0.5000 0.5000 0.3001
Pr 0.5000 0.5000 0.6999
Tm 0.0000 0.5000 0.0000
Tm 0.5000 0.0000 0.5000
Au 0.0000 0.2893 0.5000
Au 0.0000 0.7107 0.5000
Au 0.5000 0.2107 0.0000
Au 0.5000 0.7893 0.0000

***

Relative energy of each structure, in meV/atom: entry w 0; entry x 24.

***

Entry w
Here is a relaxed PrTmAu crystal from Alexandria. Energies are from PBE-GGA.

Calculated values
Total moment ... 0.0 μB/f.u.
V ... 29.0 Å³/atom

abc: 6.7098 7.2636 7.5145
angles: 89.75 79.66 75.28
Fractional coordinates of all 12 atoms:
Pr 0.0000 0.0000 0.0000
Pr 0.0369 0.1245 0.5252
Pr 0.5799 0.4226 0.3264
Pr 0.6232 0.9123 0.4280
Tm 0.0146 0.6070 0.6003
Tm 0.0611 0.5106 0.1255
Tm 0.4676 0.2887 0.7909
Tm 0.5633 0.7829 0.9637
Au 0.2293 0.7778 0.2871
Au 0.3534 0.7097 0.6935
Au 0.3601 0.1478 0.1552
Au 0.8297 0.3970 0.8750

***

Entry x
Here is a relaxed PrTmAu crystal from Alexandria. Energies are from PBE-GGA.

Calculated values
Total moment ... 0.0 μB/f.u.
V ... 28.3 Å³/atom

abc: 4.9069 4.9069 4.0659
angles: 90.00 90.00 120.00
Fractional coordinates of all 3 atoms:
Pr 0.0000 0.0000 0.0000
Tm 0.6667 0.3333 0.5077
Au 0.3333 0.6667 0.4259

***

Relative energy of each structure, in meV/atom: entry w 0; entry x 69.

***

Entry w
Here is a relaxed Pr2TmAu crystal from Alexandria. Energies are from PBE-GGA.

Calculated values
Total moment ... 0.0 μB/f.u.
V ... 31.3 Å³/atom

abc: 3.5386 3.5386 34.5890
angles: 90.00 90.00 120.00
Fractional coordinates of all 12 atoms:
Pr 0.0000 0.0000 0.0978
Pr 0.0000 0.0000 0.9022
Pr 0.3333 0.6667 0.5688
Pr 0.3333 0.6667 0.7645
Pr 0.6667 0.3333 0.2355
Pr 0.6667 0.3333 0.4312
Tm 0.0000 0.0000 0.0000
Tm 0.3333 0.6667 0.6667
Tm 0.6667 0.3333 0.3333
Au 0.0000 0.0000 0.5000
Au 0.3333 0.6667 0.1667
Au 0.6667 0.3333 0.8333

***

Entry x
Here is a relaxed Pr2TmAu crystal from Alexandria. Energies are from PBE-GGA.

Calculated values
Total moment ... 0.0 μB/f.u.
V ... 29.9 Å³/atom

abc: 3.7736 3.7736 8.4077
angles: 90.00 90.00 90.00
Fractional coordinates of all 4 atoms:
Pr 0.0000 0.0000 0.2157
Pr 0.0000 0.0000 0.7843
Tm 0.5000 0.5000 0.5000
Au 0.5000 0.5000 0.0000

***

Entry y
Here is a relaxed Pr2TmAu crystal from Alexandria. Energies are from PBE-GGA.

Calculated values
Total moment ... 0.0 μB/f.u.
V ... 31.3 Å³/atom

abc: 6.5672 3.7872 10.3085
angles: 90.00 102.36 90.00
Fractional coordinates of all 8 atoms:
Pr 0.0000 0.0000 0.0000
Pr 0.0678 0.5000 0.6974
Pr 0.5000 0.5000 0.0000
Pr 0.5678 0.0000 0.6974
Tm 0.4296 0.0000 0.2884
Tm 0.9296 0.5000 0.2884
Au 0.1588 0.0000 0.4746
Au 0.6588 0.5000 0.4746

***

Entry z
Here is a relaxed Pr2TmAu crystal from Alexandria. Energies are from PBE-GGA.

Calculated values
Total moment ... 0.0 μB/f.u.
V ... 31.3 Å³/atom

abc: 3.7648 3.7648 30.6411
angles: 90.00 90.00 120.00
Fractional coordinates of all 12 atoms:
Pr 0.0000 0.0000 0.0000
Pr 0.0000 0.0000 0.1868
Pr 0.3333 0.6667 0.6667
Pr 0.3333 0.6667 0.8534
Pr 0.6667 0.3333 0.3333
Pr 0.6667 0.3333 0.5201
Tm 0.0000 0.0000 0.4260
Tm 0.3333 0.6667 0.0926
Tm 0.6667 0.3333 0.7593
Au 0.0000 0.0000 0.5938
Au 0.3333 0.6667 0.2605
Au 0.6667 0.3333 0.9272

***

Relative energy of each structure, in meV/atom: entry w 355; entry x 20; entry y 0; entry z 127.

***

Entry w
Here is a relaxed Pr2TmAu4 crystal from Alexandria. Energies are from PBE-GGA.

Calculated values
Total moment ... 0.0 μB/f.u.
V ... 26.2 Å³/atom

abc: 5.2679 5.2679 13.2031
angles: 90.00 90.00 90.00
Fractional coordinates of all 14 atoms:
Pr 0.0000 0.0000 0.2202
Pr 0.0000 0.0000 0.7798
Pr 0.5000 0.5000 0.2798
Pr 0.5000 0.5000 0.7202
Tm 0.0000 0.0000 0.5000
Tm 0.5000 0.5000 0.0000
Au 0.0000 0.5000 0.1112
Au 0.0000 0.5000 0.3888
Au 0.0000 0.5000 0.6112
Au 0.0000 0.5000 0.8888
Au 0.5000 0.0000 0.1112
Au 0.5000 0.0000 0.3888
Au 0.5000 0.0000 0.6112
Au 0.5000 0.0000 0.8888

***

Entry x
Here is a relaxed Pr2TmAu4 crystal from Alexandria. Energies are from PBE-GGA.

Calculated values
Total moment ... 0.0 μB/f.u.
V ... 30.4 Å³/atom

abc: 5.2850 5.2850 15.2396
angles: 90.00 90.00 90.00
Fractional coordinates of all 14 atoms:
Pr 0.0000 0.0000 0.1229
Pr 0.0000 0.0000 0.8771
Pr 0.5000 0.5000 0.3771
Pr 0.5000 0.5000 0.6229
Tm 0.0000 0.0000 0.5000
Tm 0.5000 0.5000 0.0000
Au 0.0000 0.0000 0.3179
Au 0.0000 0.0000 0.6821
Au 0.0000 0.5000 0.0000
Au 0.0000 0.5000 0.5000
Au 0.5000 0.0000 0.0000
Au 0.5000 0.0000 0.5000
Au 0.5000 0.5000 0.1821
Au 0.5000 0.5000 0.8179

***

Relative energy of each structure, in meV/atom: entry w 0; entry x 314.